Entry from Alexandria via LeMat-Bulk: a geometry-optimized Al2HgRu structure (GGA-PBE).

Results
**Theoretical density**: 8.92 g/cm³
**ΔH_f (0 K)**: -284 meV/atom
**Electronic total energy**: -18.20 eV/cell
**DOS(E_F)**: 1.603 states/eV per cell

The structure in CIF format:
```
data_Al2HgRu
_space_group_name_H-M_alt 'P 4/m m m'
_space_group_IT_number 123
_space_group_name_Hall '-P 4 2'
_cell_length_a 3.069
_cell_length_b 3.069
_cell_length_c 7.025
_cell_angle_alpha 90.00
_cell_angle_beta 90.00
_cell_angle_gamma 90.00
loop_
_atom_site_label
_atom_site_fract_x
_atom_site_fract_y
_atom_site_fract_z
Al1 0.000 0.000 0.197
Hg1 0.500 0.500 0.500
Ru1 0.500 0.500 0.000
```

Entry from Alexandria via LeMat-Bulk: a geometry-optimized Al2HgRu structure (GGA-PBE).

Results
**Theoretical density**: 9.01 g/cm³
**ΔH_f (0 K)**: -132 meV/atom
**Electronic total energy**: -17.59 eV/cell
**DOS(E_F)**: 1.681 states/eV per cell

The structure in CIF format:
```
data_Al2HgRu
_space_group_name_H-M_alt 'P 4 m m'
_space_group_IT_number 99
_space_group_name_Hall 'P 4 -2'
_cell_length_a 3.387
_cell_length_b 3.387
_cell_length_c 5.716
_cell_angle_alpha 90.00
_cell_angle_beta 90.00
_cell_angle_gamma 90.00
loop_
_atom_site_label
_atom_site_fract_x
_atom_site_fract_y
_atom_site_fract_z
Al1 0.000 0.000 0.000
Al2 0.500 0.500 0.270
Hg1 0.000 0.000 0.512
Ru1 0.500 0.500 0.834
```

Entry from Alexandria via LeMat-Bulk: a geometry-optimized AlHg2Ru structure (GGA-PBE).

Results
**Theoretical density**: 11.81 g/cm³
**ΔH_f (0 K)**: 432 meV/atom
**Electronic total energy**: -35.69 eV/cell
**DOS(E_F)**: 8.802 states/eV per cell

The structure in CIF format:
```
data_AlHg2Ru
_space_group_name_H-M_alt 'R -3 m'
_space_group_IT_number 166
_space_group_name_Hall '-R 3 2"'
_cell_length_a 3.0663
_cell_length_b 3.0663
_cell_length_c 27.4260
_cell_angle_alpha 90.00
_cell_angle_beta 90.00
_cell_angle_gamma 120.00
loop_
_atom_site_label
_atom_site_fract_x
_atom_site_fract_y
_atom_site_fract_z
Al1 0.0000 0.0000 0.0000
Hg1 0.0000 0.0000 0.2487
Ru1 0.0000 0.0000 0.5000
```

Entry from Alexandria via LeMat-Bulk: a geometry-optimized Al2HgRu structure (GGA-PBE).

Results
**Theoretical density**: 8.15 g/cm³
**ΔH_f (0 K)**: 246 meV/atom
**Electronic total energy**: -64.32 eV/cell
**DOS(E_F)**: 17.050 states/eV per cell

The structure in CIF format:
```
data_Al2HgRu
_space_group_name_H-M_alt 'I -4 2 d'
_space_group_IT_number 122
_space_group_name_Hall 'I -4 2bw'
_cell_length_a 4.059
_cell_length_b 4.059
_cell_length_c 17.597
_cell_angle_alpha 90.00
_cell_angle_beta 90.00
_cell_angle_gamma 90.00
loop_
_atom_site_label
_atom_site_fract_x
_atom_site_fract_y
_atom_site_fract_z
Al1 0.217 0.250 0.125
Hg1 0.000 0.000 0.500
Ru1 0.000 0.000 0.000
```

Entry from Alexandria via LeMat-Bulk: a geometry-optimized AlHgRu2 structure (GGA-PBE).

Results
**Theoretical density**: 11.23 g/cm³
**Energy relative to the lowest polymorph listed for this composition**: 268 meV per atom
**ΔH_f (0 K)**: 295 meV/atom
**Electronic total energy**: -21.42 eV/cell
**DOS(E_F)**: 4.340 states/eV per cell

The structure in CIF format:
```
data_AlHgRu2
_space_group_name_H-M_alt 'P m m m'
_space_group_IT_number 47
_space_group_name_Hall '-P 2 2'
_cell_length_a 3.006
_cell_length_b 4.467
_cell_length_c 4.733
_cell_angle_alpha 90.00
_cell_angle_beta 90.00
_cell_angle_gamma 90.00
loop_
_atom_site_label
_atom_site_fract_x
_atom_site_fract_y
_atom_site_fract_z
Al1 0.000 0.000 0.000
Hg1 0.500 0.000 0.500
Ru1 0.000 0.500 0.500
Ru2 0.500 0.500 0.000
```

Entry from Alexandria via LeMat-Bulk: a geometry-optimized AlHgRu2 structure (GGA-PBE).

Results
**Theoretical density**: 11.06 g/cm³
**Energy relative to the lowest polymorph listed for this composition**: 105 meV per atom
**ΔH_f (0 K)**: 132 meV/atom
**Electronic total energy**: -22.07 eV/cell
**DOS(E_F)**: 3.485 states/eV per cell

The structure in CIF format:
```
data_AlHgRu2
_space_group_name_H-M_alt 'P m m 2'
_space_group_IT_number 25
_space_group_name_Hall 'P 2 -2'
_cell_length_a 2.862
_cell_length_b 3.604
_cell_length_c 6.258
_cell_angle_alpha 90.00
_cell_angle_beta 90.00
_cell_angle_gamma 90.00
loop_
_atom_site_label
_atom_site_fract_x
_atom_site_fract_y
_atom_site_fract_z
Al1 0.000 0.000 0.000
Hg1 0.500 0.500 0.299
Ru1 0.000 0.000 0.588
Ru2 0.500 0.500 0.795
```

Entry from Alexandria via LeMat-Bulk: a geometry-optimized Al2HgRu structure (GGA-PBE).

Results
**Theoretical density**: 8.99 g/cm³
**ΔH_f (0 K)**: 235 meV/atom
**Electronic total energy**: -64.49 eV/cell
**DOS(E_F)**: 12.264 states/eV per cell

The structure in CIF format:
```
data_Al2HgRu
_space_group_name_H-M_alt 'F -4 3 m'
_space_group_IT_number 216
_space_group_name_Hall 'F -4 2 3'
_cell_length_a 6.404
_cell_length_b 6.404
_cell_length_c 6.404
_cell_angle_alpha 90.00
_cell_angle_beta 90.00
_cell_angle_gamma 90.00
loop_
_atom_site_label
_atom_site_fract_x
_atom_site_fract_y
_atom_site_fract_z
Al1 0.000 0.000 0.000
Al2 0.250 0.250 0.250
Hg1 0.250 0.250 0.750
Ru1 0.000 0.000 0.500
```

Entry from Alexandria via LeMat-Bulk: a geometry-optimized AlHgRu2 structure (GGA-PBE).

Results
**Theoretical density**: 11.50 g/cm³
**Energy relative to the lowest polymorph listed for this composition**: 0 meV per atom
**ΔH_f (0 K)**: 26 meV/atom
**Electronic total energy**: -22.49 eV/cell
**DOS(E_F)**: 5.364 states/eV per cell

The structure in CIF format:
```
data_AlHgRu2
_space_group_name_H-M_alt 'P 4/m m m'
_space_group_IT_number 123
_space_group_name_Hall '-P 4 2'
_cell_length_a 3.058
_cell_length_b 3.058
_cell_length_c 6.634
_cell_angle_alpha 90.00
_cell_angle_beta 90.00
_cell_angle_gamma 90.00
loop_
_atom_site_label
_atom_site_fract_x
_atom_site_fract_y
_atom_site_fract_z
Al1 0.000 0.000 0.000
Hg1 0.000 0.000 0.500
Ru1 0.500 0.500 0.212
```

Entry from Alexandria via LeMat-Bulk: a geometry-optimized AlHgRu2 structure (GGA-PBE).

Results
**Theoretical density**: 11.35 g/cm³
**Energy relative to the lowest polymorph listed for this composition**: 134 meV per atom
**ΔH_f (0 K)**: 160 meV/atom
**Electronic total energy**: -43.91 eV/cell
**DOS(E_F)**: 7.774 states/eV per cell

The structure in CIF format:
```
data_AlHgRu2
_space_group_name_H-M_alt 'C 1 m 1'
_space_group_IT_number 8
_space_group_name_Hall 'C -2y'
_cell_length_a 9.239
_cell_length_b 2.938
_cell_length_c 4.734
_cell_angle_alpha 90.00
_cell_angle_beta 101.83
_cell_angle_gamma 90.00
loop_
_atom_site_label
_atom_site_fract_x
_atom_site_fract_y
_atom_site_fract_z
Al1 0.000 0.000 0.000
Hg1 0.237 0.000 0.728
Ru1 0.239 0.500 0.232
Ru2 0.477 0.000 0.450
```

Entry from Alexandria via LeMat-Bulk: a geometry-optimized Al3HgRu structure (GGA-PBE).

Results
**Theoretical density**: 5.86 g/cm³
**Energy relative to the lowest polymorph listed for this composition**: 0 meV per atom
**ΔH_f (0 K)**: -60 meV/atom
**Electronic total energy**: -21.11 eV/cell
**DOS(E_F)**: 2.258 states/eV per cell

The structure in CIF format:
```
data_Al3HgRu
_space_group_name_H-M_alt 'P m -3 m'
_space_group_IT_number 221
_space_group_name_Hall '-P 4 2 3'
_cell_length_a 4.767
_cell_length_b 4.767
_cell_length_c 4.767
_cell_angle_alpha 90.00
_cell_angle_beta 90.00
_cell_angle_gamma 90.00
loop_
_atom_site_label
_atom_site_fract_x
_atom_site_fract_y
_atom_site_fract_z
Al1 0.000 0.000 0.500
Hg1 0.500 0.500 0.500
Ru1 0.000 0.000 0.000
```

Entry from Alexandria via LeMat-Bulk: a geometry-optimized AlHgRu2 structure (GGA-PBE).

Results
**Theoretical density**: 11.55 g/cm³
**Energy relative to the lowest polymorph listed for this composition**: 107 meV per atom
**ΔH_f (0 K)**: 134 meV/atom
**Electronic total energy**: -22.06 eV/cell
**DOS(E_F)**: 4.143 states/eV per cell

The structure in CIF format:
```
data_AlHgRu2
_space_group_name_H-M_alt 'P 4/m m m'
_space_group_IT_number 123
_space_group_name_Hall '-P 4 2'
_cell_length_a 4.426
_cell_length_b 4.426
_cell_length_c 3.155
_cell_angle_alpha 90.00
_cell_angle_beta 90.00
_cell_angle_gamma 90.00
loop_
_atom_site_label
_atom_site_fract_x
_atom_site_fract_y
_atom_site_fract_z
Al1 0.000 0.000 0.000
Hg1 0.500 0.500 0.000
Ru1 0.000 0.500 0.500
```

Entry from Alexandria via LeMat-Bulk: a geometry-optimized Al2HgRu structure (GGA-PBE).

Results
**Theoretical density**: 9.30 g/cm³
**ΔH_f (0 K)**: -114 meV/atom
**Electronic total energy**: -35.04 eV/cell
**DOS(E_F)**: 3.508 states/eV per cell

The structure in CIF format:
```
data_Al2HgRu
_space_group_name_H-M_alt 'I -4 m 2'
_space_group_IT_number 119
_space_group_name_Hall 'I -4 -2'
_cell_length_a 3.848
_cell_length_b 3.848
_cell_length_c 8.574
_cell_angle_alpha 90.00
_cell_angle_beta 90.00
_cell_angle_gamma 90.00
loop_
_atom_site_label
_atom_site_fract_x
_atom_site_fract_y
_atom_site_fract_z
Al1 0.000 0.000 0.000
Al2 0.000 0.500 0.250
Hg1 0.000 0.500 0.750
Ru1 0.000 0.000 0.500
```

Entry from Alexandria via LeMat-Bulk: a geometry-optimized Al2HgRu structure (GGA-PBE).

Results
**Theoretical density**: 8.58 g/cm³
**ΔH_f (0 K)**: -111 meV/atom
**Electronic total energy**: -52.52 eV/cell
**DOS(E_F)**: 11.355 states/eV per cell

The structure in CIF format:
```
data_Al2HgRu
_space_group_name_H-M_alt 'R -3 m'
_space_group_IT_number 166
_space_group_name_Hall '-R 3 2"'
_cell_length_a 3.0588
_cell_length_b 3.0588
_cell_length_c 25.4771
_cell_angle_alpha 90.00
_cell_angle_beta 90.00
_cell_angle_gamma 120.00
loop_
_atom_site_label
_atom_site_fract_x
_atom_site_fract_y
_atom_site_fract_z
Al1 0.0000 0.0000 0.2384
Hg1 0.0000 0.0000 0.0000
Ru1 0.0000 0.0000 0.5000
```

Entry from Alexandria via LeMat-Bulk: a geometry-optimized Al2HgRu structure (GGA-PBE).

Results
**Theoretical density**: 8.90 g/cm³
**ΔH_f (0 K)**: -67 meV/atom
**Electronic total energy**: -34.66 eV/cell
**DOS(E_F)**: 3.894 states/eV per cell

The structure in CIF format:
```
data_Al2HgRu
_space_group_name_H-M_alt 'C 1 2/m 1'
_space_group_IT_number 12
_space_group_name_Hall '-C 2y'
_cell_length_a 8.687
_cell_length_b 3.119
_cell_length_c 5.005
_cell_angle_alpha 90.00
_cell_angle_beta 101.75
_cell_angle_gamma 90.00
loop_
_atom_site_label
_atom_site_fract_x
_atom_site_fract_y
_atom_site_fract_z
Al1 0.234 0.000 0.205
Hg1 0.000 0.000 0.500
Ru1 0.000 0.500 0.000
```

Entry from Alexandria via LeMat-Bulk: a geometry-optimized Al2HgRu structure (GGA-PBE).

Results
**Theoretical density**: 9.19 g/cm³
**ΔH_f (0 K)**: -158 meV/atom
**Electronic total energy**: -35.39 eV/cell
**DOS(E_F)**: 2.594 states/eV per cell

The structure in CIF format:
```
data_Al2HgRu
_space_group_name_H-M_alt 'C 1 m 1'
_space_group_IT_number 8
_space_group_name_Hall 'C -2y'
_cell_length_a 9.237
_cell_length_b 3.259
_cell_length_c 4.484
_cell_angle_alpha 90.00
_cell_angle_beta 107.80
_cell_angle_gamma 90.00
loop_
_atom_site_label
_atom_site_fract_x
_atom_site_fract_y
_atom_site_fract_z
Al1 0.000 0.000 0.000
Al2 0.243 0.000 0.660
Hg1 0.488 0.000 0.477
Ru1 0.227 0.500 0.105
```

Entry from Alexandria via LeMat-Bulk: a geometry-optimized AlHg2Ru structure (GGA-PBE).

Results
**Theoretical density**: 12.51 g/cm³
**ΔH_f (0 K)**: 261 meV/atom
**Electronic total energy**: -12.58 eV/cell
**DOS(E_F)**: 2.415 states/eV per cell

The structure in CIF format:
```
data_AlHg2Ru
_space_group_name_H-M_alt 'P 4/m m m'
_space_group_IT_number 123
_space_group_name_Hall '-P 4 2'
_cell_length_a 4.085
_cell_length_b 4.085
_cell_length_c 4.209
_cell_angle_alpha 90.00
_cell_angle_beta 90.00
_cell_angle_gamma 90.00
loop_
_atom_site_label
_atom_site_fract_x
_atom_site_fract_y
_atom_site_fract_z
Al1 0.000 0.000 0.000
Hg1 0.000 0.500 0.500
Ru1 0.500 0.500 0.000
```

Entry from Alexandria via LeMat-Bulk: a geometry-optimized AlHg3Ru structure (GGA-PBE).

Results
**Theoretical density**: 9.30 g/cm³
**Energy relative to the lowest polymorph listed for this composition**: 357 meV per atom
**ΔH_f (0 K)**: 1053 meV/atom
**Electronic total energy**: -8.66 eV/cell
**DOS(E_F)**: 3.457 states/eV per cell

The structure in CIF format:
```
data_AlHg3Ru
_space_group_name_H-M_alt 'P m -3 m'
_space_group_IT_number 221
_space_group_name_Hall '-P 4 2 3'
_cell_length_a 5.069
_cell_length_b 5.069
_cell_length_c 5.069
_cell_angle_alpha 90.00
_cell_angle_beta 90.00
_cell_angle_gamma 90.00
loop_
_atom_site_label
_atom_site_fract_x
_atom_site_fract_y
_atom_site_fract_z
Al1 0.000 0.000 0.000
Hg1 0.000 0.000 0.500
Ru1 0.500 0.500 0.500
```

Entry from Alexandria via LeMat-Bulk: a geometry-optimized AlHgSbRu2 structure (GGA-PBE).

Results
**Raw formation energy**: 0.910 eV per atom
**Theoretical density**: 9.02 g/cm³
**Electronic total energy**: -22.17 eV/cell
**DOS(E_F)**: 6.683 states/eV per cell

The structure in CIF format:
```
data_AlHgSbRu2
_space_group_name_H-M_alt 'P 4/m m m'
_space_group_IT_number 123
_space_group_name_Hall '-P 4 2'
_cell_length_a 4.618
_cell_length_b 4.618
_cell_length_c 4.761
_cell_angle_alpha 90.00
_cell_angle_beta 90.00
_cell_angle_gamma 90.00
loop_
_atom_site_label
_atom_site_fract_x
_atom_site_fract_y
_atom_site_fract_z
Al1 0.000 0.000 0.000
Hg1 0.000 0.000 0.500
Sb1 0.500 0.500 0.500
Ru1 0.000 0.500 0.000
```

Entry from Alexandria via LeMat-Bulk: a geometry-optimized Tb3Al3Hg2Ru structure (GGA-PBE).

Results
**Theoretical density**: 8.97 g/cm³
**ΔH_f (0 K)**: -509 meV/atom
**Electronic total energy**: -39.58 eV/cell
**DOS(E_F)**: 13.279 states/eV per cell

The structure in CIF format:
```
data_Tb3Al3Hg2Ru
_space_group_name_H-M_alt 'P -6 2 m'
_space_group_IT_number 189
_space_group_name_Hall 'P -6 -2'
_cell_length_a 7.1675
_cell_length_b 7.1675
_cell_length_c 4.4095
_cell_angle_alpha 90.00
_cell_angle_beta 90.00
_cell_angle_gamma 120.00
loop_
_atom_site_label
_atom_site_fract_x
_atom_site_fract_y
_atom_site_fract_z
Tb1 0.0000 0.3973 0.0000
Al1 0.0000 0.7799 0.5000
Hg1 0.3333 0.6667 0.5000
Ru1 0.0000 0.0000 0.0000
```

Entry from Alexandria via LeMat-Bulk: a geometry-optimized Al2HgS4 structure (GGA-PBE).

Results
**Raw formation energy**: -0.803 eV per atom
**Theoretical density**: 3.91 g/cm³
**Energy relative to the lowest polymorph listed for this composition**: 22 meV per atom
**Electronic total energy**: -29.92 eV/cell

The structure in CIF format:
```
data_Al2HgS4
_space_group_name_H-M_alt 'P -4 2 m'
_space_group_IT_number 111
_space_group_name_Hall 'P -4 2'
_cell_length_a 5.245
_cell_length_b 5.245
_cell_length_c 5.904
_cell_angle_alpha 90.00
_cell_angle_beta 90.00
_cell_angle_gamma 90.00
loop_
_atom_site_label
_atom_site_fract_x
_atom_site_fract_y
_atom_site_fract_z
Al1 0.000 0.500 0.000
Hg1 0.000 0.000 0.500
S1 0.270 0.270 0.774
```